Computed, not measured: LuSi2Ge after structural relaxation at the GGA-PBE level of DFT.

DOS(E_F), states/eV/cell: 1.58
Energy, eV/atom: -5.20
Calculated volume, Å³/cell: 71.9
Raw formation energy, eV/atom: -0.203
ρ, g/cm³: 7.0

Lattice parameters (Å, degrees): 4.211 4.211 4.054 90.00 90.00 90.00
Fractional positions:
1 Lu 0.000 0.000 0.000
2 Si 0.000 0.500 0.500
3 Si 0.500 0.000 0.500
4 Ge 0.500 0.500 0.000